# ScNb2ZnN

Crystalline ScNb2ZnN at its relaxed geometry (PBE-GGA, the Alexandria database).

Cell lengths 4.234, 4.234, 4.426 Å; angles 90.00, 90.00, 90.00 degrees
Space group P4/mmm (No. 123)
One atom of each set of equivalent atoms:
Sc: 0.000 0.000 0.000 (multiplicity 1)
Nb: 0.000 0.500 0.500 (multiplicity 2)
Zn: 0.500 0.500 0.000 (multiplicity 1)
N: 0.000 0.000 0.500 (multiplicity 1)

Results
Density of states at the Fermi level, states/eV/cell: 2.67
Magnetic moment, μB per cell: 0.00
Raw formation energy, kJ/mol of atoms: -58.2

# Zr2Sc3NbN6

Crystalline Zr2Sc3NbN6 at its relaxed geometry (PBE-GGA, the Alexandria database).

Cell lengths 5.529, 9.578, 5.587 Å; angles 90.00, 109.36, 90.00 degrees
Space group C2/m (No. 12)
One atom of each set of equivalent atoms:
Zr: 0.000 0.167 0.000 (multiplicity 4)
Sc: 0.000 0.000 0.500 (multiplicity 2)
Sc: 0.000 0.333 0.500 (multiplicity 4)
Nb: 0.000 0.500 0.000 (multiplicity 2)
N: 0.248 0.500 0.746 (multiplicity 4)
N: 0.250 0.166 0.748 (multiplicity 8)

Results
Density of states at the Fermi level, states/eV/cell: 8.02
Magnetic moment, μB per cell: 0.00
Raw formation energy, kJ/mol of atoms: -165.8